1.
Below is an optimized crystal structure of BeZnNO, with properties calculated at the PBE-GGA level.

Geometry as POSCAR:
```
BeZnNO
1.0
4.430 0.000 0.000
0.000 5.279 0.000
0.000 0.000 6.316
N Be O Zn
4 4 4 4
direct
0.044 0.330 0.087
0.044 0.830 0.913
0.544 0.670 0.913
0.544 0.170 0.087
0.054 0.026 0.122
0.554 0.474 0.122
0.054 0.526 0.878
0.554 0.974 0.878
0.048 0.917 0.353
0.548 0.583 0.353
0.048 0.417 0.647
0.548 0.083 0.647
0.056 0.538 0.348
0.056 0.038 0.652
0.556 0.962 0.348
0.556 0.462 0.652
```

Output
Energy relative to the lowest polymorph listed for this composition, meV/atom: 127
SG: No. 29



2.
Below is an optimized crystal structure of ZrBeNO, with properties calculated at the PBE-GGA level.

Geometry as POSCAR:
```
ZrBeNO
1.0
3.002 -3.002 0.000
3.002 3.002 0.000
0.000 0.000 4.682
Zr N O Be
2 2 2 2
direct
0.750 0.250 0.500
0.250 0.750 0.500
0.250 0.250 0.604
0.750 0.750 0.396
0.750 0.250 0.000
0.250 0.750 0.000
0.750 0.750 0.053
0.250 0.250 0.947
```

Output
Energy relative to the lowest polymorph listed for this composition, meV/atom: 602
SG: No. 129



3.
Below is an optimized crystal structure of ZrBeNO, with properties calculated at the PBE-GGA level.

Geometry as POSCAR:
```
ZrBeNO
1.0
3.286 0.000 0.000
0.000 3.286 0.000
0.000 0.000 7.309
O Be N Zr
2 2 2 2
direct
0.500 0.500 0.000
0.000 0.000 0.000
0.000 0.000 0.500
0.500 0.500 0.500
0.500 0.000 0.377
0.000 0.500 0.623
0.000 0.500 0.183
0.500 0.000 0.817
```

Output
Energy relative to the lowest polymorph listed for this composition, meV/atom: 730
SG: No. 129



4.
Below is an optimized crystal structure of ZrBeNO, with properties calculated at the PBE-GGA level.

Geometry as POSCAR:
```
ZrBeNO
1.0
3.050 0.000 0.000
0.000 4.922 0.000
0.000 0.000 5.422
Zr O Be N
2 2 2 2
direct
0.000 0.521 0.285
0.000 0.021 0.715
0.500 0.281 0.044
0.500 0.781 0.956
0.500 0.996 0.195
0.500 0.496 0.805
0.000 0.456 0.657
0.000 0.956 0.343
```

Output
Energy relative to the lowest polymorph listed for this composition, meV/atom: 302
SG: No. 26



Raw total energy, record by record: -5.37 -7.85 -7.72 -8.15 eV/atom